# VZn2AsF (GGA+U, optimized geometry)
# total DFT energy (no corrections) = -2.8263 eV per atom
# magnetization = 0.4 μB per formula unit
data_VZn2AsF
_symmetry_space_group_name_H-M 'P 4/m m m'
_symmetry_Int_Tables_number 123
_symmetry_space_group_name_Hall '-P 4 2'
_cell_length_a 4.9119
_cell_length_b 4.9119
_cell_length_c 4.9002
_cell_angle_alpha 90.00
_cell_angle_beta 90.00
_cell_angle_gamma 90.00
loop_
_atom_site_label
_atom_site_fract_x
_atom_site_fract_y
_atom_site_fract_z
V1 0.0000 0.0000 0.0000
Zn1 0.0000 0.5000 0.5000
As1 0.0000 0.0000 0.5000
F1 0.5000 0.5000 0.0000